Entry 1:
This record from Alexandria describes a geometry-optimized Ca2AcPr4 structure. The functional is PBE.

Output
The calculation puts the total energy at -3.78 eV/atom.

a b c (Å): 3.671 6.036 24.615
angles (deg): 90.00 90.00 90.00
Space group Immm (No. 71)
One atom of each set of equivalent atoms:
Ca  0.000  0.000  0.223
Ac  0.000  0.000  0.500
Pr  0.000  0.500  0.134
Pr  0.000  0.500  0.414

Entry 2:
This record from Alexandria describes a geometry-optimized ReW5 structure. The functional is PBE.

Output
The calculation puts the total energy at -12.04 eV/atom.

a b c (Å): 5.1233 5.1233 4.6304
angles (deg): 90.00 90.00 120.00
Space group P6/mmm (No. 191)
One atom of each set of equivalent atoms:
Re  0.0000  0.0000  0.0000
W  0.0000  0.5000  0.5000
W  0.3333  0.6667  0.0000

Entry 3:
This record from Alexandria describes a geometry-optimized La2SmCu structure. The functional is PBE.

Output
The calculation puts the total energy at -4.73 eV/atom.

a b c (Å): 7.142 10.327 6.612
angles (deg): 90.00 90.00 90.00
Space group Pnma (No. 62)
One atom of each set of equivalent atoms:
La  0.195  0.059  0.172
Sm  0.027  0.250  0.648
Cu  0.104  0.750  0.932

Entry 4:
This record from Alexandria describes a geometry-optimized FePPtS2 structure. The functional is PBE.

Output
The calculation puts the total energy at -4.72 eV/atom. The uncorrected formation energy is 4.5 eV/f.u.

a b c (Å): 4.909 4.909 4.405
angles (deg): 90.00 90.00 90.00
Space group P4/mmm (No. 123)
One atom of each set of equivalent atoms:
Fe  0.000  0.000  0.000
P  0.500  0.500  0.000
Pt  0.500  0.500  0.500
S  0.000  0.500  0.500

Entry 5:
This record from Alexandria describes a geometry-optimized LiTm2Os structure. The functional is PBE.

Output
The calculation puts the total energy at -5.32 eV/atom.

a b c (Å): 3.3854 3.3854 30.8322
angles (deg): 90.00 90.00 120.00
Space group R-3m (No. 166, hexagonal axes)
One atom of each set of equivalent atoms:
Li  0.0000  0.0000  0.0000
Tm  0.0000  0.0000  0.1023
Os  0.0000  0.0000  0.5000

Entry 6:
This record from Alexandria describes a geometry-optimized TlIn2Ir structure. The functional is PBE.

Output
The calculation puts the total energy at -3.94 eV/atom.

a b c (Å): 3.924 4.511 5.515
angles (deg): 90.00 110.63 90.00
Space group Pm (No. 6)
One atom of each set of equivalent atoms:
Tl  0.000  0.000  0.000
In  0.279  0.000  0.554
In  0.700  0.500  0.395
Ir  0.418  0.500  0.837

Entry 7:
This record from Alexandria describes a geometry-optimized CeDy8Er6 structure. The functional is PBE.

Output
The calculation puts the total energy at -4.54 eV/atom.

a b c (Å): 8.9429 8.9429 20.4710
angles (deg): 90.00 90.00 120.00
Space group R-3 (No. 148, hexagonal axes)
One atom of each set of equivalent atoms:
Ce  0.0000  0.0000  0.0000
Dy  0.0000  0.0000  0.4227
Dy  0.0815  0.5236  0.8061
Er  0.0584  0.8120  0.7076

Entry 8:
This record from Alexandria describes a geometry-optimized NaOsC3 structure. The functional is PBE.

Output
The calculation puts the total energy at -6.51 eV/atom.

a b c (Å): 4.070 4.070 4.070
angles (deg): 90.00 90.00 90.00
Space group Pm-3m (No. 221)
One atom of each set of equivalent atoms:
Na  0.000  0.000  0.000
Os  0.500  0.500  0.500
C  0.000  0.500  0.500

Entry 9:
This record from Alexandria describes a geometry-optimized NaLaIn3 structure. The functional is PBE.

Output
The calculation puts the total energy at -2.76 eV/atom.

a b c (Å): 5.310 5.310 5.310
angles (deg): 90.00 90.00 90.00
Space group Pm-3m (No. 221)
One atom of each set of equivalent atoms:
Na  0.000  0.000  0.000
La  0.500  0.500  0.500
In  0.000  0.000  0.500

Entry 10:
This record from Alexandria describes a geometry-optimized Sr6Pd2Pb structure. The functional is PBE.

Output
The calculation puts the total energy at -3.15 eV/atom.

a b c (Å): 10.341 10.814 11.560
angles (deg): 90.00 90.00 90.00
Space group Immm (No. 71)
One atom of each set of equivalent atoms:
Sr  0.000  0.195  0.241
Sr  0.184  0.500  0.164
Sr  0.213  0.323  0.500
Pd  0.000  0.328  0.000
Pd  0.000  0.500  0.377
Pb  0.000  0.000  0.000
Pb  0.000  0.000  0.500

Entry 11:
This record from Alexandria describes a geometry-optimized CaSiSb2 structure. The functional is PBE.

Output
The calculation puts the total energy at -4.07 eV/atom. The uncorrected formation energy is -0.6 eV/f.u.

a b c (Å): 4.685 4.685 4.519
angles (deg): 90.00 90.00 90.00
Space group P4/mmm (No. 123)
One atom of each set of equivalent atoms:
Ca  0.000  0.000  0.000
Si  0.500  0.500  0.000
Sb  0.000  0.500  0.500

Entry 12:
This record from Alexandria describes a geometry-optimized CoNi2Ge structure. The functional is PBE.

Output
The calculation puts the total energy at -6.01 eV/atom.

a b c (Å): 3.532 3.532 3.654
angles (deg): 90.00 90.00 90.00
Space group P4/mmm (No. 123)
One atom of each set of equivalent atoms:
Co  0.000  0.000  0.000
Ni  0.000  0.500  0.500
Ge  0.500  0.500  0.000

Which formula does entry 11 have? CaSiSb2

What did the third record say?
This record from Alexandria describes a geometry-optimized La2SmCu structure. The functional is PBE.

Output
The calculation puts the total energy at -4.73 eV/atom.

a b c (Å): 7.142 10.327 6.612
angles (deg): 90.00 90.00 90.00
Space group Pnma (No. 62)
One atom of each set of equivalent atoms:
La  0.195  0.059  0.172
Sm  0.027  0.250  0.648
Cu  0.104  0.750  0.932